# 1
First-principles (GGA-PBE) data for an optimized crystal structure of Dy2Ho9Tm3, as listed in the Alexandria database.

```
14
Lattice="4.961 0.000 0.000 -2.475 8.950 0.000 -2.472 -3.439 9.643" Properties=species:S:1:pos:R:3 pbc="T T T"
Dy 0.000 0.000 0.000
Dy 0.004 0.685 3.448
Ho -2.473 2.760 4.820
Ho -2.469 3.443 8.273
Ho 0.007 -2.058 7.573
Ho 0.006 4.137 2.755
Ho 0.008 1.379 6.893
Ho 2.484 2.069 1.377
Ho 0.010 4.822 6.199
Ho 2.486 -0.691 5.512
Ho 2.485 5.509 0.694
Tm -2.471 0.004 8.958
Tm -2.472 6.200 4.131
Tm 0.007 7.570 2.070
```

Summary:
The calculation puts the density of states at the Fermi level at 1.3350 states/eV per atom. The theoretical density is 8.98 g/cm³.

***

# 2
First-principles (GGA-PBE) data for an optimized crystal structure of Dy4Ho9Tm11, as listed in the Alexandria database.

```
24
Lattice="10.096 -10.418 0.000 10.096 10.418 0.000 0.000 0.000 3.485" Properties=species:S:1:pos:R:3 pbc="T T T"
Dy 2.761 1.769 0.000
Dy 2.761 -1.769 0.000
Dy 17.430 1.769 0.000
Dy 17.430 -1.769 0.000
Ho 0.000 0.000 0.000
Ho 7.603 5.284 0.000
Ho 7.645 1.771 0.000
Ho 12.588 5.284 0.000
Ho 7.645 -1.771 0.000
Ho 12.546 1.771 0.000
Ho 7.603 -5.284 0.000
Ho 12.546 -1.771 0.000
Ho 12.588 -5.284 0.000
Tm 5.117 3.505 1.742
Tm 10.096 7.161 1.742
Tm 5.212 0.000 1.742
Tm 10.096 3.547 1.742
Tm 5.117 -3.505 1.742
Tm 10.096 0.000 1.742
Tm 15.074 3.505 1.742
Tm 10.096 -3.547 1.742
Tm 14.979 0.000 1.742
Tm 10.096 -7.161 1.742
Tm 15.074 -3.505 1.742
```

Summary:
The calculation puts the density of states at the Fermi level at 1.4431 states/eV per atom. The theoretical density is 9.04 g/cm³.

***

# 3
First-principles (GGA-PBE) data for an optimized crystal structure of Dy2HoTm7, as listed in the Alexandria database.

```
10
Lattice="4.294 -8.520 0.000 4.294 8.520 0.000 0.000 0.000 5.091" Properties=species:S:1:pos:R:3 pbc="T T T"
Dy 4.294 5.093 0.000
Dy 4.294 -5.093 0.000
Ho 4.294 0.000 2.545
Tm 0.000 0.000 0.000
Tm 2.758 1.834 0.000
Tm 4.294 3.319 2.545
Tm 2.758 -1.834 0.000
Tm 5.830 1.834 0.000
Tm 4.294 -3.319 2.545
Tm 5.830 -1.834 0.000
```

Summary:
The calculation puts the density of states at the Fermi level at 1.1795 states/eV per atom. The theoretical density is 7.46 g/cm³.

***

# 4
First-principles (GGA-PBE) data for an optimized crystal structure of Dy2HoTm8, as listed in the Alexandria database.

```
11
Lattice="4.493 -8.204 0.000 4.493 8.204 0.000 -3.493 0.000 4.643" Properties=species:S:1:pos:R:3 pbc="T T T"
Dy 4.493 5.085 0.000
Dy 4.493 -5.085 0.000
Ho 2.746 0.000 2.321
Tm -0.560 0.000 1.319
Tm -0.293 2.049 3.702
Tm 2.746 3.325 2.321
Tm -0.293 -2.049 3.702
Tm 5.785 2.049 0.940
Tm 2.746 -3.325 2.321
Tm 5.785 -2.049 0.940
Tm 6.052 0.000 3.324
```

Summary:
The calculation puts the density of states at the Fermi level at 1.3588 states/eV per atom. The theoretical density is 8.93 g/cm³.

***

Number 1: electronic total energy -63.53 eV for the cell shown. Number 2: electronic total energy -107.39 eV for the cell shown. Number 3: electronic total energy -37.96 eV for the cell shown. Number 4: electronic total energy -47.74 eV for the cell shown.